Entry 1:
# NiSbW2

A crystal of NiSbW2 relaxed with PBEsol (SCAN, the Alexandria database).

a b c (Å): 3.784 3.784 4.329
angles (deg): 90.00 90.00 90.00
Fractional coordinates of all 4 atoms:
W1 0.000 0.500 0.000
W2 0.500 0.000 0.000
Ni1 0.500 0.500 0.500
Sb1 0.000 0.000 0.500

The value obtained for the magnetic moment is 0.00 μB per formula unit. For the uncorrected formation energy, the calculation gives 488 meV per atom. The electronic total energy comes out at -47.715 eV per atom. As for the symmetry: P4/mmm. The mass density is 14.687 g/cm³.

---

Entry 2:
# BeGeIr2Rh

A crystal of BeGeIr2Rh relaxed with PBEsol (SCAN, the Alexandria database).

a b c (Å): 4.049 4.457 4.457
angles (deg): 90.00 90.00 90.00
Fractional coordinates of all 5 atoms:
Ir1 0.000 0.500 0.000
Ir2 0.000 0.000 0.500
Ge1 0.000 0.000 0.000
Be1 0.500 0.000 0.000
Rh1 0.500 0.500 0.500

The value obtained for the magnetic moment is 0.00 μB per formula unit. The electronic total energy comes out at -38.698 eV per atom. As for the symmetry: P4/mmm. The mass density is 11.745 g/cm³.

---

Entry 3:
# YCd2S2

A crystal of YCd2S2 relaxed with PBEsol (SCAN, the Alexandria database).

a b c (Å): 3.683 3.683 8.543
angles (deg): 102.45 102.45 90.00
Fractional coordinates of all 5 atoms:
S1 0.586 0.586 0.172
S2 0.414 0.414 0.828
Cd1 0.250 0.750 0.500
Cd2 0.750 0.250 0.500
Y1 0.000 0.000 0.000

The value obtained for the magnetic moment is 0.00 μB per formula unit. For the uncorrected formation energy, the calculation gives -823 meV per atom. The electronic total energy comes out at -22.409 eV per atom. As for the symmetry: I4/mmm. The mass density is 5.687 g/cm³.

---

Entry 4:
# LiTl2W

A crystal of LiTl2W relaxed with PBEsol (SCAN, the Alexandria database).

a b c (Å): 2.973 4.784 5.640
angles (deg): 90.00 90.00 90.00
Fractional coordinates of all 4 atoms:
W1 0.000 0.000 0.437
Li1 0.500 0.500 0.793
Tl1 0.500 0.500 0.343
Tl2 0.000 0.000 0.928

The value obtained for the magnetic moment is 0.00 μB per formula unit. The electronic total energy comes out at -53.578 eV per atom. As for the symmetry: Pmm2. The mass density is 12.412 g/cm³.